1.
{"formula": "Ca2PdBr", "functional": "GGA-PBE", "state": "relaxed", "e_above_lowest_polymorph_ev_per_atom": 0.042, "crystal_system": "tetragonal", "lattice": [[3.591, 0.000, 0.000], [0.000, 3.591, 0.000], [0.000, 0.000, 7.915]], "species": ["Ca", "Ca", "Br", "Pd"], "frac_coords": [[0.000, 0.000, 0.215], [0.000, 0.000, 0.785], [0.500, 0.500, 0.500], [0.500, 0.500, 0.000]]}

***

2.
{"formula": "Er4Tl3Zn", "functional": "GGA-PBE", "state": "relaxed", "e_above_lowest_polymorph_ev_per_atom": 0.058, "crystal_system": "orthorhombic", "lattice": [[-2.717, -2.070, -1.665], [3.159, -3.387, -0.943], [-2.420, -5.134, 10.335]], "species": ["Tl", "Tl", "Tl", "Er", "Er", "Er", "Er", "Zn"], "frac_coords": [[0.500, 0.000, 0.923], [0.000, 0.500, 0.588], [0.000, 0.000, 0.413], [0.000, 0.000, 0.147], [0.500, 0.500, 0.335], [0.500, 0.000, 0.654], [0.000, 0.500, 0.857], [0.500, 0.500, 0.082]]}

***

3.
{"formula": "La2CeIn3", "functional": "GGA-PBE", "state": "relaxed", "e_above_lowest_polymorph_ev_per_atom": 0.227, "crystal_system": "orthorhombic", "lattice": [[-1.265, -4.866, -2.771], [7.838, -0.601, -2.524], [-0.006, -4.084, 7.175]], "species": ["La", "La", "La", "La", "In", "In", "In", "In", "In", "In", "Ce", "Ce"], "frac_coords": [[0.250, 0.154, 0.411], [0.250, 0.411, 0.154], [0.750, 0.846, 0.589], [0.750, 0.589, 0.846], [0.000, 0.220, 0.780], [0.500, 0.780, 0.220], [0.000, 0.780, 0.220], [0.250, 0.591, 0.591], [0.500, 0.220, 0.780], [0.750, 0.409, 0.409], [0.750, 0.074, 0.074], [0.250, 0.926, 0.926]]}

***

4.
{"formula": "Pr2Ga5Co", "functional": "GGA-PBE", "state": "relaxed", "total_energy_ev_per_fu": -35.20, "crystal_system": "tetragonal", "lattice": [[6.302, -0.155, -0.222], [-3.238, 5.409, 0.222], [-3.238, -1.632, 5.161]], "species": ["Ga", "Ga", "Ga", "Ga", "Ga", "Co", "Pr", "Pr"], "frac_coords": [[0.000, 0.266, 0.712], [0.000, 0.271, 0.271], [0.554, 0.266, 0.266], [0.446, 0.712, 0.712], [0.000, 0.712, 0.266], [0.000, 0.016, 0.016], [0.500, 0.239, 0.739], [0.500, 0.739, 0.239]]}

***

5.
{"formula": "AsBrCl2", "functional": "GGA-PBE", "state": "relaxed", "e_above_lowest_polymorph_ev_per_atom": 1.021, "crystal_system": "tetragonal", "lattice": [[-0.049, -4.442, 2.711], [2.889, -3.240, -2.869], [1.208, 4.780, 1.665]], "species": ["Cl", "Cl", "As", "Br"], "frac_coords": [[0.500, 0.500, 0.000], [0.000, 0.000, 0.000], [0.250, 0.750, 0.500], [0.750, 0.250, 0.500]]}

***

6.
{"formula": "Ta5Ti12Te3", "functional": "GGA-PBE", "state": "relaxed", "total_energy_ev_per_fu": -142.20, "crystal_system": "cubic", "lattice": [[13.358, 0.000, 0.000], [-4.453, 12.594, 0.000], [-4.453, -6.297, 10.907]], "species": ["Ti", "Ti", "Ti", "Ti", "Ti", "Ti", "Ti", "Ti", "Ti", "Ti", "Ti", "Ti", "Ti", "Ti", "Ti", "Ti", "Ti", "Ti", "Ti", "Ti", "Ti", "Ti", "Ti", "Ti", "Ti", "Ti", "Ti", "Ti", "Ti", "Ti", "Ti", "Ti", "Ti", "Ti", "Ti", "Ti", "Ti", "Ti", "Ti", "Ti", "Ti", "Ti", "Ti", "Ti", "Ti", "Ti", "Ti", "Ti", "Ta", "Ta", "Ta", "Ta", "Ta", "Ta", "Ta", "Ta", "Ta", "Ta", "Ta", "Ta", "Ta", "Ta", "Ta", "Ta", "Ta", "Ta", "Ta", "Ta", "Te", "Te", "Te", "Te", "Te", "Te", "Te", "Te", "Te", "Te", "Te", "Te"], "frac_coords": [[0.339, 0.558, 0.419], [0.942, 0.361, 0.281], [0.219, 0.558, 0.639], [0.161, 0.080, 0.719], [0.639, 0.581, 0.920], [0.081, 0.161, 0.442], [0.281, 0.861, 0.942], [0.081, 0.920, 0.139], [0.161, 0.081, 0.942], [0.581, 0.942, 0.661], [0.442, 0.781, 0.861], [0.558, 0.219, 0.139], [0.861, 0.281, 0.442], [0.442, 0.661, 0.081], [0.639, 0.058, 0.219], [0.719, 0.139, 0.058], [0.419, 0.058, 0.339], [0.919, 0.080, 0.861], [0.339, 0.781, 0.420], [0.419, 0.361, 0.580], [0.661, 0.442, 0.581], [0.861, 0.580, 0.919], [0.558, 0.339, 0.919], [0.420, 0.139, 0.581], [0.781, 0.339, 0.920], [0.080, 0.919, 0.361], [0.719, 0.580, 0.161], [0.281, 0.420, 0.839], [0.058, 0.419, 0.839], [0.919, 0.839, 0.558], [0.661, 0.219, 0.580], [0.420, 0.281, 0.339], [0.839, 0.920, 0.281], [0.139, 0.420, 0.081], [0.781, 0.442, 0.361], [0.581, 0.639, 0.420], [0.058, 0.639, 0.719], [0.139, 0.719, 0.558], [0.920, 0.081, 0.639], [0.219, 0.661, 0.080], [0.361, 0.942, 0.781], [0.361, 0.419, 0.080], [0.942, 0.581, 0.161], [0.580, 0.719, 0.661], [0.920, 0.839, 0.781], [0.839, 0.919, 0.058], [0.080, 0.161, 0.219], [0.580, 0.861, 0.419], [0.125, 0.375, 0.250], [0.375, 0.250, 0.125], [0.125, 0.750, 0.375], [0.500, 0.500, 0.000], [0.750, 0.125, 0.875], [0.250, 0.375, 0.625], [0.750, 0.625, 0.375], [0.250, 0.875, 0.125], [0.500, 0.000, 0.000], [0.375, 0.125, 0.750], [0.000, 0.000, 0.000], [0.500, 0.000, 0.500], [0.000, 0.000, 0.500], [0.875, 0.250, 0.625], [0.875, 0.625, 0.750], [0.000, 0.500, 0.500], [0.500, 0.500, 0.500], [0.625, 0.750, 0.875], [0.625, 0.875, 0.250], [0.000, 0.500, 0.000], [0.125, 0.250, 0.875], [0.125, 0.875, 0.750], [0.625, 0.375, 0.750], [0.750, 0.875, 0.625], [0.250, 0.625, 0.875], [0.875, 0.750, 0.125], [0.750, 0.375, 0.125], [0.375, 0.750, 0.625], [0.875, 0.125, 0.250], [0.625, 0.250, 0.375], [0.250, 0.125, 0.375], [0.375, 0.625, 0.250]]}

***

7.
{"formula": "UPaC", "functional": "GGA-PBE", "state": "relaxed", "e_above_lowest_polymorph_ev_per_atom": 0.000, "crystal_system": "trigonal", "lattice": [[4.725, 0.000, 0.000], [0.000, 3.519, 0.000], [0.000, -1.759, 3.047]], "species": ["U", "C", "Pa"], "frac_coords": [[0.308, 0.667, 0.333], [0.008, 0.000, 0.000], [0.684, 0.333, 0.667]]}

***

8.
{"formula": "ScCo2Re", "functional": "GGA-PBE", "state": "relaxed", "e_above_lowest_polymorph_ev_per_atom": 0.029, "crystal_system": "tetragonal", "lattice": [[2.997, 0.000, 0.000], [0.000, 4.319, 0.000], [0.000, 0.000, 4.319]], "species": ["Co", "Co", "Sc", "Re"], "frac_coords": [[0.000, 0.500, 0.500], [0.000, 0.000, 0.000], [0.500, 0.000, 0.500], [0.500, 0.500, 0.000]]}